{"formula": "Li2Mg", "functional": "GGA-PBE", "state": "optimized geometry", "magnetic_moment_mub_per_fu": 0.0, "e_form_ev_per_atom": -0.035, "crystal_system": "orthorhombic", "energy_ev_per_atom": -1.842, "lattice_angstrom": [[5.018, 0.000, 0.000], [0.000, 1.617, 7.553], [0.000, -1.617, 7.553]], "species": ["Li", "Li", "Li", "Li", "Mg", "Mg"], "frac_coords": [[0.000, 0.000, 0.000], [0.000, 0.331, 0.331], [0.000, 0.662, 0.662], [0.500, 0.833, 0.833], [0.500, 0.171, 0.171], [0.500, 0.495, 0.495]]}